1.
# La3AgTe | the Alexandria database | PBE | relaxed
data_La3AgTe
_chemical_formula_sum 'La3 Ag1 Te1'
_cell_length_a 5.799
_cell_length_b 5.799
_cell_length_c 5.799
_cell_angle_alpha 90.00
_cell_angle_beta 90.00
_cell_angle_gamma 90.00
_space_group_name_H-M_alt 'P m -3 m'
_space_group_IT_number 221
_space_group_name_Hall '-P 4 2 3'
loop_
_atom_site_label
_atom_site_type_symbol
_atom_site_fract_x
_atom_site_fract_y
_atom_site_fract_z
La1 La 0.000 0.000 0.500
Ag1 Ag 0.000 0.000 0.000
Te1 Te 0.500 0.500 0.500
# - N(E_F) (states/eV/f.u.) = 7.6
# - magnetic moment (μB/f.u.) = 0.000
# - ΔE_f (raw) (eV per atom) = -0.106
# - DFT total energy (eV per formula unit) = -21.30

2.
# LaAgTe4 | the Alexandria database | PBE | relaxed
data_LaAgTe4
_chemical_formula_sum 'La4 Ag4 Te16'
_cell_length_a 8.970
_cell_length_b 8.970
_cell_length_c 8.970
_cell_angle_alpha 90.00
_cell_angle_beta 90.00
_cell_angle_gamma 90.00
_space_group_name_H-M_alt 'F -4 3 m'
_space_group_IT_number 216
_space_group_name_Hall 'F -4 2 3'
loop_
_atom_site_label
_atom_site_type_symbol
_atom_site_fract_x
_atom_site_fract_y
_atom_site_fract_z
La1 La 0.000 0.000 0.000
Ag1 Ag 0.250 0.250 0.250
Te1 Te 0.125 0.125 0.625
# - N(E_F) (states/eV/f.u.) = 3.8
# - magnetic moment (μB/f.u.) = 0.002
# - ΔE_f (raw) (eV per atom) = -0.083
# - DFT total energy (eV per formula unit) = -20.84

3.
# La2Ag2Te | the Alexandria database | PBE | relaxed
data_La2Ag2Te
_chemical_formula_sum 'La4 Ag4 Te2'
_cell_length_a 8.265
_cell_length_b 8.265
_cell_length_c 4.123
_cell_angle_alpha 90.00
_cell_angle_beta 90.00
_cell_angle_gamma 90.00
_space_group_name_H-M_alt 'P 4/m b m'
_space_group_IT_number 127
_space_group_name_Hall '-P 4 2ab'
loop_
_atom_site_label
_atom_site_type_symbol
_atom_site_fract_x
_atom_site_fract_y
_atom_site_fract_z
La1 La 0.177 0.323 0.000
Ag1 Ag 0.119 0.619 0.500
Te1 Te 0.000 0.000 0.500
# - N(E_F) (states/eV/f.u.) = 3.8
# - magnetic moment (μB/f.u.) = 0.000
# - ΔE_f (raw) (eV per atom) = -0.557
# - DFT total energy (eV per formula unit) = -21.48

4.
# La4AgTe3 | the Alexandria database | PBE | relaxed
data_La4AgTe3
_chemical_formula_sum 'La8 Ag2 Te6'
_cell_length_a 7.956
_cell_length_b 9.105
_cell_length_c 7.844
_cell_angle_alpha 90.00
_cell_angle_beta 109.49
_cell_angle_gamma 90.00
_space_group_name_H-M_alt 'P 1 2/c 1'
_space_group_IT_number 13
loop_
_space_group_symop_operation_xyz
'x,y,z'
'-x,-y,-z'
'-x,y,-z+1/2'
'x,-y,z+1/2'
loop_
_atom_site_label
_atom_site_type_symbol
_atom_site_fract_x
_atom_site_fract_y
_atom_site_fract_z
La1 La 0.247 0.127 0.000
La2 La 0.248 0.377 0.500
Ag1 Ag 0.000 0.376 0.750
Te1 Te 0.000 0.125 0.250
Te2 Te 0.500 0.124 0.750
Te3 Te 0.500 0.375 0.250
# - N(E_F) (states/eV/f.u.) = 6.7
# - magnetic moment (μB/f.u.) = 0.000
# - ΔE_f (raw) (eV per atom) = -1.225
# - DFT total energy (eV per formula unit) = -41.79

5.
# LaAg2Te | the Alexandria database | PBE | relaxed
data_LaAg2Te
_chemical_formula_sum 'La1 Ag2 Te1'
_cell_length_a 4.001
_cell_length_b 4.064
_cell_length_c 6.963
_cell_angle_alpha 90.00
_cell_angle_beta 105.92
_cell_angle_gamma 90.00
_space_group_name_H-M_alt 'P 1 m 1'
_space_group_IT_number 6
loop_
_space_group_symop_operation_xyz
'x,y,z'
'x,-y,z'
loop_
_atom_site_label
_atom_site_type_symbol
_atom_site_fract_x
_atom_site_fract_y
_atom_site_fract_z
La1 La 0.000 0.000 0.000
Ag1 Ag 0.329 0.500 0.664
Ag2 Ag 0.768 0.000 0.540
Te1 Te 0.597 0.500 0.204
# - N(E_F) (states/eV/f.u.) = 1.9
# - magnetic moment (μB/f.u.) = 0.000
# - ΔE_f (raw) (eV per atom) = -0.484
# - DFT total energy (eV per formula unit) = -15.71

6.
# LaAg3Te | the Alexandria database | PBE | relaxed
data_LaAg3Te
_chemical_formula_sum 'La1 Ag3 Te1'
_cell_length_a 5.307
_cell_length_b 5.307
_cell_length_c 5.307
_cell_angle_alpha 90.00
_cell_angle_beta 90.00
_cell_angle_gamma 90.00
_space_group_name_H-M_alt 'P m -3 m'
_space_group_IT_number 221
_space_group_name_Hall '-P 4 2 3'
loop_
_atom_site_label
_atom_site_type_symbol
_atom_site_fract_x
_atom_site_fract_y
_atom_site_fract_z
La1 La 0.000 0.000 0.000
Ag1 Ag 0.000 0.500 0.500
Te1 Te 0.500 0.500 0.500
# - N(E_F) (states/eV/f.u.) = 8.0
# - magnetic moment (μB/f.u.) = 0.000
# - ΔE_f (raw) (eV per atom) = 0.303
# - DFT total energy (eV per formula unit) = -15.11

7.
# LaAg5Te4 | the Alexandria database | PBE | relaxed
data_LaAg5Te4
_chemical_formula_sum 'La2 Ag10 Te8'
_cell_length_a 4.611
_cell_length_b 8.376
_cell_length_c 14.939
_cell_angle_alpha 90.00
_cell_angle_beta 90.00
_cell_angle_gamma 90.00
_space_group_name_H-M_alt 'I m m m'
_space_group_IT_number 71
_space_group_name_Hall '-I 2 2'
loop_
_atom_site_label
_atom_site_type_symbol
_atom_site_fract_x
_atom_site_fract_y
_atom_site_fract_z
La1 La 0.000 0.000 0.000
Ag1 Ag 0.000 0.304 0.316
Ag2 Ag 0.000 0.500 0.000
Te1 Te 0.000 0.000 0.224
Te2 Te 0.000 0.225 0.500
# - N(E_F) (states/eV/f.u.) = 1.1
# - magnetic moment (μB/f.u.) = 0.000
# - ΔE_f (raw) (eV per atom) = -0.408
# - DFT total energy (eV per formula unit) = -35.83

8.
# La5AgTe4 | the Alexandria database | PBE | relaxed
data_La5AgTe4
_chemical_formula_sum 'La10 Ag2 Te8'
_cell_length_a 4.506
_cell_length_b 6.482
_cell_length_c 23.017
_cell_angle_alpha 90.00
_cell_angle_beta 90.00
_cell_angle_gamma 90.00
_space_group_name_H-M_alt 'I m m m'
_space_group_IT_number 71
_space_group_name_Hall '-I 2 2'
loop_
_atom_site_label
_atom_site_type_symbol
_atom_site_fract_x
_atom_site_fract_y
_atom_site_fract_z
La1 La 0.000 0.000 0.000
La2 La 0.000 0.000 0.200
La3 La 0.000 0.000 0.403
Ag1 Ag 0.000 0.500 0.000
Te1 Te 0.000 0.500 0.199
Te2 Te 0.000 0.500 0.400
# - N(E_F) (states/eV/f.u.) = 9.9
# - magnetic moment (μB/f.u.) = 0.000
# - ΔE_f (raw) (eV per atom) = -1.296
# - DFT total energy (eV per formula unit) = -53.01

9.
# La2Ag2Te | the Alexandria database | PBE | relaxed
data_La2Ag2Te
_chemical_formula_sum 'La4 Ag4 Te2'
_cell_length_a 8.513
_cell_length_b 8.513
_cell_length_c 4.264
_cell_angle_alpha 90.00
_cell_angle_beta 90.00
_cell_angle_gamma 90.00
_space_group_name_H-M_alt 'P 4/m b m'
_space_group_IT_number 127
_space_group_name_Hall '-P 4 2ab'
loop_
_atom_site_label
_atom_site_type_symbol
_atom_site_fract_x
_atom_site_fract_y
_atom_site_fract_z
La1 La 0.172 0.328 0.000
Ag1 Ag 0.120 0.620 0.500
Te1 Te 0.000 0.000 0.000
# - N(E_F) (states/eV/f.u.) = 4.0
# - magnetic moment (μB/f.u.) = 0.000
# - ΔE_f (raw) (eV per atom) = -0.528
# - DFT total energy (eV per formula unit) = -21.34

10.
# LaAg2Te2 | the Alexandria database | PBE | relaxed
data_LaAg2Te2
_chemical_formula_sum 'La2 Ag4 Te4'
_cell_length_a 8.326
_cell_length_b 8.326
_cell_length_c 4.020
_cell_angle_alpha 90.00
_cell_angle_beta 90.00
_cell_angle_gamma 90.00
_space_group_name_H-M_alt 'P 4/m b m'
_space_group_IT_number 127
_space_group_name_Hall '-P 4 2ab'
loop_
_atom_site_label
_atom_site_type_symbol
_atom_site_fract_x
_atom_site_fract_y
_atom_site_fract_z
La1 La 0.000 0.000 0.000
Ag1 Ag 0.134 0.366 0.500
Te1 Te 0.165 0.665 0.000
# - N(E_F) (states/eV/f.u.) = 2.5
# - magnetic moment (μB/f.u.) = 0.279
# - ΔE_f (raw) (eV per atom) = -0.420
# - DFT total energy (eV per formula unit) = -19.01

11.
# La2AgTe4 | the Alexandria database | PBE | relaxed
data_La2AgTe4
_chemical_formula_sum 'La4 Ag2 Te8'
_cell_length_a 5.284
_cell_length_b 5.284
_cell_length_c 17.007
_cell_angle_alpha 90.00
_cell_angle_beta 90.00
_cell_angle_gamma 90.00
_space_group_name_H-M_alt 'I 4/m m m'
_space_group_IT_number 139
_space_group_name_Hall '-I 4 2'
loop_
_atom_site_label
_atom_site_type_symbol
_atom_site_fract_x
_atom_site_fract_y
_atom_site_fract_z
La1 La 0.000 0.000 0.132
Ag1 Ag 0.000 0.000 0.500
Te1 Te 0.000 0.000 0.315
Te2 Te 0.000 0.500 0.000
# - N(E_F) (states/eV/f.u.) = 3.8
# - magnetic moment (μB/f.u.) = 0.000
# - ΔE_f (raw) (eV per atom) = -0.886
# - DFT total energy (eV per formula unit) = -31.48